No. 1
First-principles (GGA-PBE) data for an optimized crystal structure of CsAlAgCl6, as listed in the Alexandria database.

Unit cell a=6.4867 b=6.4868 c=7.6851 alpha=88.29 beta=91.70 gamma=64.56
Site moments in Bohr magnetons follow the coordinates.
Positions (direct):
1 Cl 0.6020 0.3779 0.6851  0.14
2 Cl 0.0535 0.3375 0.3039  0.03
3 Cl 0.3376 0.0535 0.6962  0.03
4 Cl 0.0352 0.6194 0.6558  0.11
5 Cl 0.6194 0.0353 0.3442  0.11
6 Cl 0.3778 0.6020 0.3148  0.14
7 Ag 0.6676 0.6676 0.4999  0.33
8 Cs 0.9810 0.9811 0.0000  0.00
9 Al 0.3256 0.3256 0.5000  0.00

Total energy (eV/atom): -3.295
E_form (uncorrected) (kJ/mol of atoms): -119.33
Space group: C2, No. 5

---

No. 2
First-principles (GGA-PBE) data for an optimized crystal structure of ScAs, as listed in the Alexandria database.

Unit cell a=5.7369 b=5.7369 c=4.0292 alpha=90.00 beta=90.00 gamma=142.30
Positions (direct):
1 As 0.1208 0.8792 0.2500
2 As 0.8792 0.1208 0.7500
3 Sc 0.6268 0.3732 0.7500
4 Sc 0.3732 0.6268 0.2500

Total energy (eV/atom): -6.651
ΔE_f (kJ per mole of atoms): -112.0
Space group: Cmcm, No. 63

---

total energy of number 2 (ScAs)? -6.651 eV/atom

---

The highest total energy belongs to which entry? CsAlAgCl6